Entry 1:
The following is a PBE calculation of a relaxed structure of CsPu2AgO8, from the Alexandria database.

The structure in CIF format:
```
data_CsPu2AgO8
_chemical_formula_sum 'Cs1 Pu2 Ag1 O8'
_symmetry_space_group_name_H-M 'P -3'
_symmetry_Int_Tables_number 147
_cell_length_a 6.0085
_cell_length_b 6.0085
_cell_length_c 7.1804
_cell_angle_alpha 90.00
_cell_angle_beta 90.00
_cell_angle_gamma 120.00
loop_
_symmetry_equiv_pos_as_xyz
'x,y,z'
'-x,-y,-z'
'-y,x-y,z'
'y,-x+y,-z'
'-x+y,-x,z'
'x-y,x,-z'
loop_
_atom_site_label
_atom_site_fract_x
_atom_site_fract_y
_atom_site_fract_z
_atom_site_occupancy
Cs1 0.0000 0.0000 0.0000 1
Pu1 0.3333 0.6667 0.4440 1
Ag1 0.0000 0.0000 0.5000 1
O1 0.0639 0.3891 0.6223 1
O2 0.3333 0.6667 0.1848 1
```

Entry 2:
The following is a PBE calculation of a relaxed structure of Cs2Pu2AgO7, from the Alexandria database.

The structure in CIF format:
```
data_Cs2Pu2AgO7
_chemical_formula_sum 'Cs4 Pu4 Ag2 O14'
_symmetry_space_group_name_H-M 'I 4/m m m'
_symmetry_Int_Tables_number 139
_symmetry_space_group_name_Hall '-I 4 2'
_cell_length_a 4.3078
_cell_length_b 4.3078
_cell_length_c 23.8955
_cell_angle_alpha 90.00
_cell_angle_beta 90.00
_cell_angle_gamma 90.00
loop_
_atom_site_label
_atom_site_fract_x
_atom_site_fract_y
_atom_site_fract_z
_atom_site_occupancy
Cs1 0.0000 0.0000 0.1879 1
Pu1 0.0000 0.0000 0.4134 1
Ag1 0.0000 0.0000 0.0000 1
O1 0.0000 0.0000 0.3311 1
O2 0.0000 0.0000 0.5000 1
O3 0.0000 0.5000 0.0850 1
```

Entry 3:
The following is a PBE calculation of a relaxed structure of Cs2Rb6AgO, from the Alexandria database.

The structure in CIF format:
```
data_Cs2Rb6AgO
_chemical_formula_sum 'Cs4 Rb12 Ag2 O2'
_symmetry_space_group_name_H-M 'C 1 m 1'
_symmetry_Int_Tables_number 8
_cell_length_a 10.9189
_cell_length_b 12.7344
_cell_length_c 9.7609
_cell_angle_alpha 90.00
_cell_angle_beta 92.84
_cell_angle_gamma 90.00
loop_
_symmetry_equiv_pos_as_xyz
'x,y,z'
'x,-y,z'
'x+1/2,y+1/2,z'
'x+1/2,-y+1/2,z'
loop_
_atom_site_label
_atom_site_fract_x
_atom_site_fract_y
_atom_site_fract_z
_atom_site_occupancy
Cs1 0.0000 0.1880 0.0000 1
Rb1 0.1534 0.5000 0.7102 1
Rb2 0.1977 0.5000 0.3099 1
Rb3 0.2805 0.0000 0.6326 1
Rb4 0.3439 0.0000 0.2424 1
Rb5 0.4928 0.2268 0.4849 1
Ag1 0.0313 0.0000 0.3264 1
O1 0.4950 0.0000 0.4810 1
```

Entry 4:
The following is a PBE calculation of a relaxed structure of CsRbAgO2, from the Alexandria database.

The structure in CIF format:
```
data_CsRbAgO2
_chemical_formula_sum 'Cs4 Rb4 Ag4 O8'
_symmetry_space_group_name_H-M 'C m m e'
_symmetry_Int_Tables_number 67
_symmetry_space_group_name_Hall '-C 2a 2'
_cell_length_a 8.3033
_cell_length_b 14.3897
_cell_length_c 5.5400
_cell_angle_alpha 90.00
_cell_angle_beta 90.00
_cell_angle_gamma 90.00
loop_
_atom_site_label
_atom_site_fract_x
_atom_site_fract_y
_atom_site_fract_z
_atom_site_occupancy
Cs1 0.0000 0.2500 0.1128 1
Rb1 0.2500 0.0000 0.5000 1
Ag1 0.0000 0.0000 0.0000 1
O1 0.0000 0.1020 0.7615 1
```

Entry 5:
The following is a PBE calculation of a relaxed structure of CsRb2AgO, from the Alexandria database.

The structure in CIF format:
```
data_CsRb2AgO
_chemical_formula_sum 'Cs4 Rb8 Ag4 O4'
_symmetry_space_group_name_H-M 'C m c m'
_symmetry_Int_Tables_number 63
_symmetry_space_group_name_Hall '-C 2c 2'
_cell_length_a 4.6511
_cell_length_b 18.8588
_cell_length_c 9.3742
_cell_angle_alpha 90.00
_cell_angle_beta 90.00
_cell_angle_gamma 90.00
loop_
_atom_site_label
_atom_site_fract_x
_atom_site_fract_y
_atom_site_fract_z
_atom_site_occupancy
Cs1 0.0000 0.0034 0.2500 1
Rb1 0.0000 0.3643 0.5044 1
Ag1 0.0000 0.2193 0.2500 1
O1 0.0000 0.5000 0.0000 1
```

Calculated values
Distance to the lowest polymorph of the same formula (meV/atom): 79

Entry 6:
The following is a PBE calculation of a relaxed structure of Cs2RbAgO, from the Alexandria database.

The structure in CIF format:
```
data_Cs2RbAgO
_chemical_formula_sum 'Cs8 Rb4 Ag4 O4'
_symmetry_space_group_name_H-M 'C m c m'
_symmetry_Int_Tables_number 63
_symmetry_space_group_name_Hall '-C 2c 2'
_cell_length_a 4.5691
_cell_length_b 19.7226
_cell_length_c 9.2814
_cell_angle_alpha 90.00
_cell_angle_beta 90.00
_cell_angle_gamma 90.00
loop_
_atom_site_label
_atom_site_fract_x
_atom_site_fract_y
_atom_site_fract_z
_atom_site_occupancy
Cs1 0.0000 0.1326 0.0183 1
Rb1 0.0000 0.4872 0.2500 1
Ag1 0.0000 0.2937 0.2500 1
O1 0.0000 0.0000 0.0000 1
```

Calculated values
Distance to the lowest polymorph of the same formula (meV/atom): 71

Entry 7:
The following is a PBE calculation of a relaxed structure of CsRb2AgO, from the Alexandria database.

The structure in CIF format:
```
data_CsRb2AgO
_chemical_formula_sum 'Cs1 Rb2 Ag1 O1'
_symmetry_space_group_name_H-M 'P 4/m m m'
_symmetry_Int_Tables_number 123
_symmetry_space_group_name_Hall '-P 4 2'
_cell_length_a 5.7032
_cell_length_b 5.7032
_cell_length_c 5.9402
_cell_angle_alpha 90.00
_cell_angle_beta 90.00
_cell_angle_gamma 90.00
loop_
_atom_site_label
_atom_site_fract_x
_atom_site_fract_y
_atom_site_fract_z
_atom_site_occupancy
Cs1 0.0000 0.0000 0.0000 1
Rb1 0.0000 0.5000 0.5000 1
Ag1 0.5000 0.5000 0.0000 1
O1 0.0000 0.0000 0.5000 1
```

Calculated values
Distance to the lowest polymorph of the same formula (meV/atom): 0

Entry 8:
The following is a PBE calculation of a relaxed structure of Cs2RbAgO, from the Alexandria database.

The structure in CIF format:
```
data_Cs2RbAgO
_chemical_formula_sum 'Cs2 Rb1 Ag1 O1'
_symmetry_space_group_name_H-M 'P 4/m m m'
_symmetry_Int_Tables_number 123
_symmetry_space_group_name_Hall '-P 4 2'
_cell_length_a 5.9743
_cell_length_b 5.9743
_cell_length_c 5.6943
_cell_angle_alpha 90.00
_cell_angle_beta 90.00
_cell_angle_gamma 90.00
loop_
_atom_site_label
_atom_site_fract_x
_atom_site_fract_y
_atom_site_fract_z
_atom_site_occupancy
Cs1 0.0000 0.5000 0.0000 1
Rb1 0.0000 0.0000 0.5000 1
Ag1 0.5000 0.5000 0.5000 1
O1 0.0000 0.0000 0.0000 1
```

Calculated values
Distance to the lowest polymorph of the same formula (meV/atom): 0

Entry 9:
The following is a PBE calculation of a relaxed structure of Cs4Rb2Ag2O, from the Alexandria database.

The structure in CIF format:
```
data_Cs4Rb2Ag2O
_chemical_formula_sum 'Cs8 Rb4 Ag4 O2'
_symmetry_space_group_name_H-M 'C 1 2/m 1'
_symmetry_Int_Tables_number 12
_cell_length_a 14.5972
_cell_length_b 8.4401
_cell_length_c 7.9315
_cell_angle_alpha 90.00
_cell_angle_beta 106.20
_cell_angle_gamma 90.00
loop_
_symmetry_equiv_pos_as_xyz
'x,y,z'
'-x,-y,-z'
'-x,y,-z'
'x,-y,z'
'x+1/2,y+1/2,z'
'-x+1/2,-y+1/2,-z'
'-x+1/2,y+1/2,-z'
'x+1/2,-y+1/2,z'
loop_
_atom_site_label
_atom_site_fract_x
_atom_site_fract_y
_atom_site_fract_z
_atom_site_occupancy
Cs1 0.0751 0.2381 0.3223 1
Rb1 0.1735 0.0000 0.7945 1
Ag1 0.1827 0.5000 0.7270 1
O1 0.0000 0.0000 0.5000 1
```

Entry 10:
The following is a PBE calculation of a relaxed structure of Cs2ReAgO6, from the Alexandria database.

The structure in CIF format:
```
data_Cs2ReAgO6
_chemical_formula_sum 'Cs2 Re1 Ag1 O6'
_symmetry_space_group_name_H-M 'P -3 m 1'
_symmetry_Int_Tables_number 164
_symmetry_space_group_name_Hall '-P 3 2"'
_cell_length_a 6.5492
_cell_length_b 6.5492
_cell_length_c 5.5985
_cell_angle_alpha 90.00
_cell_angle_beta 90.00
_cell_angle_gamma 120.00
loop_
_atom_site_label
_atom_site_fract_x
_atom_site_fract_y
_atom_site_fract_z
_atom_site_occupancy
Cs1 0.3333 0.6667 0.2611 1
Re1 0.0000 0.0000 0.5000 1
Ag1 0.0000 0.0000 0.0000 1
O1 0.1355 0.2710 0.7026 1
```

Entry 11:
The following is a PBE calculation of a relaxed structure of CsRe2AgO8, from the Alexandria database.

The structure in CIF format:
```
data_CsRe2AgO8
_chemical_formula_sum 'Cs2 Re4 Ag2 O16'
_symmetry_space_group_name_H-M 'C 1 2/m 1'
_symmetry_Int_Tables_number 12
_cell_length_a 11.8865
_cell_length_b 6.0604
_cell_length_c 7.7868
_cell_angle_alpha 90.00
_cell_angle_beta 115.78
_cell_angle_gamma 90.00
loop_
_symmetry_equiv_pos_as_xyz
'x,y,z'
'-x,-y,-z'
'-x,y,-z'
'x,-y,z'
'x+1/2,y+1/2,z'
'-x+1/2,-y+1/2,-z'
'-x+1/2,y+1/2,-z'
'x+1/2,-y+1/2,z'
loop_
_atom_site_label
_atom_site_fract_x
_atom_site_fract_y
_atom_site_fract_z
_atom_site_occupancy
Cs1 0.0000 0.0000 0.0000 1
Re1 0.2031 0.0000 0.6676 1
Ag1 0.0000 0.5000 0.5000 1
O1 0.1327 0.2352 0.7135 1
O2 0.1363 0.5000 0.1841 1
O3 0.1781 0.0000 0.4288 1
```

Entry 12:
The following is a PBE calculation of a relaxed structure of Cs2AgRhO4, from the Alexandria database.

The structure in CIF format:
```
data_Cs2AgRhO4
_chemical_formula_sum 'Cs4 Ag2 Rh2 O8'
_symmetry_space_group_name_H-M 'I -4'
_symmetry_Int_Tables_number 82
_cell_length_a 6.6444
_cell_length_b 6.6444
_cell_length_c 7.7408
_cell_angle_alpha 90.00
_cell_angle_beta 90.00
_cell_angle_gamma 90.00
loop_
_symmetry_equiv_pos_as_xyz
'x,y,z'
'y,-x,-z'
'-x,-y,z'
'-y,x,-z'
'x+1/2,y+1/2,z+1/2'
'y+1/2,-x+1/2,-z+1/2'
'-x+1/2,-y+1/2,z+1/2'
'-y+1/2,x+1/2,-z+1/2'
loop_
_atom_site_label
_atom_site_fract_x
_atom_site_fract_y
_atom_site_fract_z
_atom_site_occupancy
Cs1 0.0000 0.0000 0.0000 1
Cs2 0.0000 0.5000 0.2500 1
Ag1 0.0000 0.5000 0.7500 1
Rh1 0.0000 0.0000 0.5000 1
O1 0.1209 0.2074 0.6290 1
```

Entry 13:
The following is a PBE calculation of a relaxed structure of CsAgSO4, from the Alexandria database.

The structure in CIF format:
```
data_CsAgSO4
_chemical_formula_sum 'Cs4 Ag4 S4 O16'
_symmetry_space_group_name_H-M 'F -4 3 m'
_symmetry_Int_Tables_number 216
_symmetry_space_group_name_Hall 'F -4 2 3'
_cell_length_a 8.6930
_cell_length_b 8.6930
_cell_length_c 8.6930
_cell_angle_alpha 90.00
_cell_angle_beta 90.00
_cell_angle_gamma 90.00
loop_
_atom_site_label
_atom_site_fract_x
_atom_site_fract_y
_atom_site_fract_z
_atom_site_occupancy
Cs1 0.0000 0.0000 0.0000 1
Ag1 0.2500 0.2500 0.7500 1
S1 0.0000 0.0000 0.5000 1
O1 0.0989 0.0989 0.5989 1
```

Entry 14:
The following is a PBE calculation of a relaxed structure of Cs3AgS2O8, from the Alexandria database.

The structure in CIF format:
```
data_Cs3AgS2O8
_chemical_formula_sum 'Cs3 Ag1 S2 O8'
_symmetry_space_group_name_H-M 'P -3 m 1'
_symmetry_Int_Tables_number 164
_symmetry_space_group_name_Hall '-P 3 2"'
_cell_length_a 6.1855
_cell_length_b 6.1855
_cell_length_c 8.1551
_cell_angle_alpha 90.00
_cell_angle_beta 90.00
_cell_angle_gamma 120.00
loop_
_atom_site_label
_atom_site_fract_x
_atom_site_fract_y
_atom_site_fract_z
_atom_site_occupancy
Cs1 0.0000 0.0000 0.0000 1
Cs2 0.3333 0.6667 0.6976 1
Ag1 0.0000 0.0000 0.5000 1
S1 0.3333 0.6667 0.2538 1
O1 0.2009 0.4019 0.3157 1
O2 0.3333 0.6667 0.0719 1
```

Entry 15:
The following is a PBE calculation of a relaxed structure of Cs2AgSO4, from the Alexandria database.

The structure in CIF format:
```
data_Cs2AgSO4
_chemical_formula_sum 'Cs4 Ag2 S2 O8'
_symmetry_space_group_name_H-M 'I -4'
_symmetry_Int_Tables_number 82
_cell_length_a 7.1849
_cell_length_b 7.1849
_cell_length_c 7.5189
_cell_angle_alpha 90.00
_cell_angle_beta 90.00
_cell_angle_gamma 90.00
loop_
_symmetry_equiv_pos_as_xyz
'x,y,z'
'y,-x,-z'
'-x,-y,z'
'-y,x,-z'
'x+1/2,y+1/2,z+1/2'
'y+1/2,-x+1/2,-z+1/2'
'-x+1/2,-y+1/2,z+1/2'
'-y+1/2,x+1/2,-z+1/2'
loop_
_atom_site_label
_atom_site_fract_x
_atom_site_fract_y
_atom_site_fract_z
_atom_site_occupancy
Cs1 0.0000 0.0000 0.0000 1
Cs2 0.0000 0.5000 0.2500 1
Ag1 0.0000 0.0000 0.5000 1
S1 0.0000 0.5000 0.7500 1
O1 0.1177 0.3765 0.8656 1
```

Entry 16:
The following is a PBE calculation of a relaxed structure of Cs2AgSO6, from the Alexandria database.

The structure in CIF format:
```
data_Cs2AgSO6
_chemical_formula_sum 'Cs2 Ag1 S1 O6'
_symmetry_space_group_name_H-M 'P -3 m 1'
_symmetry_Int_Tables_number 164
_symmetry_space_group_name_Hall '-P 3 2"'
_cell_length_a 6.4644
_cell_length_b 6.4644
_cell_length_c 5.3616
_cell_angle_alpha 90.00
_cell_angle_beta 90.00
_cell_angle_gamma 120.00
loop_
_atom_site_label
_atom_site_fract_x
_atom_site_fract_y
_atom_site_fract_z
_atom_site_occupancy
Cs1 0.3333 0.6667 0.2804 1
Ag1 0.0000 0.0000 0.0000 1
S1 0.0000 0.0000 0.5000 1
O1 0.1214 0.2429 0.6836 1
```

Entry 17:
The following is a PBE calculation of a relaxed structure of CsAgS2O6, from the Alexandria database.

The structure in CIF format:
```
data_CsAgS2O6
_chemical_formula_sum 'Cs4 Ag4 S8 O24'
_symmetry_space_group_name_H-M 'C 1 2/c 1'
_symmetry_Int_Tables_number 15
_cell_length_a 10.9344
_cell_length_b 12.0359
_cell_length_c 6.5731
_cell_angle_alpha 90.00
_cell_angle_beta 108.55
_cell_angle_gamma 90.00
loop_
_symmetry_equiv_pos_as_xyz
'x,y,z'
'-x,-y,-z'
'-x,y,-z+1/2'
'x,-y,z+1/2'
'x+1/2,y+1/2,z'
'-x+1/2,-y+1/2,-z'
'-x+1/2,y+1/2,-z+1/2'
'x+1/2,-y+1/2,z+1/2'
loop_
_atom_site_label
_atom_site_fract_x
_atom_site_fract_y
_atom_site_fract_z
_atom_site_occupancy
Cs1 0.0000 0.1985 0.2500 1
Ag1 0.0000 0.4303 0.7500 1
S1 0.2359 0.0728 0.8214 1
O1 0.1168 0.4186 0.1044 1
O2 0.1767 0.1796 0.7302 1
O3 0.1931 0.0251 0.1736 1
```

Entry 18:
The following is a PBE calculation of a relaxed structure of CsAgSe2O8, from the Alexandria database.

The structure in CIF format:
```
data_CsAgSe2O8
_chemical_formula_sum 'Cs3 Ag3 Se6 O24'
_symmetry_space_group_name_H-M 'R -3'
_symmetry_Int_Tables_number 148
_symmetry_space_group_name_Hall '-R 3'
_cell_length_a 5.2058
_cell_length_b 5.2058
_cell_length_c 28.1182
_cell_angle_alpha 90.00
_cell_angle_beta 90.00
_cell_angle_gamma 120.00
loop_
_atom_site_label
_atom_site_fract_x
_atom_site_fract_y
_atom_site_fract_z
_atom_site_occupancy
Cs1 0.0000 0.0000 0.0000 1
Ag1 0.0000 0.0000 0.5000 1
Se1 0.0000 0.0000 0.2328 1
O1 0.0000 0.0000 0.2918 1
O2 0.0085 0.6945 0.2144 1
```

Entry 19:
The following is a PBE calculation of a relaxed structure of CsAg2Se2O6, from the Alexandria database.

The structure in CIF format:
```
data_CsAg2Se2O6
_chemical_formula_sum 'Cs1 Ag2 Se2 O6'
_symmetry_space_group_name_H-M 'P -1'
_symmetry_Int_Tables_number 2
_cell_length_a 6.2643
_cell_length_b 6.6251
_cell_length_c 6.6541
_cell_angle_alpha 66.07
_cell_angle_beta 70.10
_cell_angle_gamma 69.35
loop_
_symmetry_equiv_pos_as_xyz
'x,y,z'
'-x,-y,-z'
loop_
_atom_site_label
_atom_site_fract_x
_atom_site_fract_y
_atom_site_fract_z
_atom_site_occupancy
Cs1 0.0000 0.0000 0.0000 1
Ag1 0.2765 0.5013 0.7655 1
Se1 0.2752 0.2896 0.3670 1
O1 0.1221 0.4286 0.1477 1
O2 0.3328 0.5195 0.3932 1
O3 0.4591 0.8303 0.7651 1
```

Entry 20:
The following is a PBE calculation of a relaxed structure of Cs2AgSeO4, from the Alexandria database.

The structure in CIF format:
```
data_Cs2AgSeO4
_chemical_formula_sum 'Cs4 Ag2 Se2 O8'
_symmetry_space_group_name_H-M 'I -4'
_symmetry_Int_Tables_number 82
_cell_length_a 6.6802
_cell_length_b 6.6802
_cell_length_c 7.9968
_cell_angle_alpha 90.00
_cell_angle_beta 90.00
_cell_angle_gamma 90.00
loop_
_symmetry_equiv_pos_as_xyz
'x,y,z'
'y,-x,-z'
'-x,-y,z'
'-y,x,-z'
'x+1/2,y+1/2,z+1/2'
'y+1/2,-x+1/2,-z+1/2'
'-x+1/2,-y+1/2,z+1/2'
'-y+1/2,x+1/2,-z+1/2'
loop_
_atom_site_label
_atom_site_fract_x
_atom_site_fract_y
_atom_site_fract_z
_atom_site_occupancy
Cs1 0.0000 0.0000 0.0000 1
Cs2 0.0000 0.5000 0.2500 1
Ag1 0.0000 0.5000 0.7500 1
Se1 0.0000 0.0000 0.5000 1
O1 0.1088 0.1926 0.6263 1
```

| no. | formation energy from raw total energies (eV per atom) |
| --- | --- |
| 1 | -1.743 |
| 2 | -2.092 |
| 3 | -0.260 |
| 4 | -0.658 |
| 5 | -0.450 |
| 6 | -0.459 |
| 7 | -0.529 |
| 8 | -0.530 |
| 9 | -0.288 |
| 10 | -1.158 |
| 11 | -1.562 |
| 12 | -0.762 |
| 13 | -1.288 |
| 14 | -1.583 |
| 15 | -1.254 |
| 16 | -0.846 |
| 17 | -1.103 |
| 18 | -0.653 |
| 19 | -0.750 |
| 20 | -0.915 |